## w
An optimized crystal structure of ZnCuGeIr, computed with PBE.

SG: F-43m

abc: 4.302 4.302 4.302
angles: 60.00 60.00 60.00
Fractional coordinates of all 4 atoms:
1 Zn 0.000 0.000 0.000
2 Cu 0.750 0.750 0.750
3 Ge 0.500 0.500 0.500
4 Ir 0.250 0.250 0.250

***

## x
An optimized crystal structure of ZnCuGeIr, computed with PBE.

SG: F-43m

abc: 4.356 4.356 4.356
angles: 60.00 60.00 60.00
Fractional coordinates of all 4 atoms:
1 Zn 0.000 0.000 0.000
2 Cu 0.500 0.500 0.500
3 Ge 0.250 0.250 0.250
4 Ir 0.750 0.750 0.750

***

Most stable: w (next structure +237 meV per atom)

***

## w
An optimized crystal structure of KCuGeSe3, computed with PBE.

SG: P2_1/m

abc: 8.732 3.928 9.483
angles: 90.00 111.20 90.00
Fractional coordinates of all 12 atoms:
1 K 0.222 0.250 0.270
2 K 0.778 0.750 0.730
3 Cu 0.064 0.250 0.583
4 Cu 0.936 0.750 0.417
5 Ge 0.329 0.750 0.862
6 Ge 0.671 0.250 0.138
7 Se 0.124 0.250 0.856
8 Se 0.229 0.750 0.566
9 Se 0.462 0.750 0.147
10 Se 0.538 0.250 0.853
11 Se 0.771 0.250 0.434
12 Se 0.876 0.750 0.144

***

## x
An optimized crystal structure of KCuGeSe3, computed with PBE.

SG: Cmcm

abc: 7.622 7.622 10.546
angles: 90.00 90.00 151.65
Fractional coordinates of all 12 atoms:
1 K 0.242 0.758 0.750
2 K 0.758 0.242 0.250
3 Cu 0.056 0.944 0.250
4 Cu 0.944 0.056 0.750
5 Ge 0.500 0.500 0.000
6 Ge 0.500 0.500 0.500
7 Se 0.124 0.876 0.042
8 Se 0.124 0.876 0.458
9 Se 0.450 0.550 0.250
10 Se 0.550 0.450 0.750
11 Se 0.876 0.124 0.542
12 Se 0.876 0.124 0.958

***

Most stable: w (next structure +53 meV per atom)

***

## w
An optimized crystal structure of KCuGeTe3, computed with PBE.

SG: Cmcm

abc: 8.170 8.170 11.428
angles: 90.00 90.00 152.72
Fractional coordinates of all 12 atoms:
1 K 0.243 0.757 0.750
2 K 0.757 0.243 0.250
3 Cu 0.063 0.937 0.250
4 Cu 0.937 0.063 0.750
5 Ge 0.500 0.500 0.000
6 Ge 0.500 0.500 0.500
7 Te 0.131 0.869 0.043
8 Te 0.131 0.869 0.457
9 Te 0.451 0.549 0.250
10 Te 0.549 0.451 0.750
11 Te 0.869 0.131 0.543
12 Te 0.869 0.131 0.957

***

## x
An optimized crystal structure of KCuGeTe3, computed with PBE.

SG: P2_1/m

abc: 9.538 4.185 10.079
angles: 90.00 112.00 90.00
Fractional coordinates of all 12 atoms:
1 K 0.220 0.250 0.260
2 K 0.780 0.750 0.740
3 Cu 0.062 0.250 0.576
4 Cu 0.938 0.750 0.424
5 Ge 0.326 0.750 0.862
6 Ge 0.674 0.250 0.138
7 Te 0.117 0.250 0.851
8 Te 0.227 0.750 0.559
9 Te 0.465 0.750 0.154
10 Te 0.535 0.250 0.846
11 Te 0.773 0.250 0.441
12 Te 0.883 0.750 0.149

***

Most stable: x (next structure +27 meV per atom)

***

## w
An optimized crystal structure of LaCuGePd, computed with PBE.

SG: F-43m

abc: 4.796 4.796 4.796
angles: 60.00 60.00 60.00
Fractional coordinates of all 4 atoms:
1 La 0.000 0.000 0.000
2 Cu 0.750 0.750 0.750
3 Ge 0.500 0.500 0.500
4 Pd 0.250 0.250 0.250

***

## x
An optimized crystal structure of LaCuGePd, computed with PBE.

SG: F-43m

abc: 4.791 4.791 4.791
angles: 60.00 60.00 60.00
Fractional coordinates of all 4 atoms:
1 La 0.000 0.000 0.000
2 Cu 0.750 0.750 0.750
3 Ge 0.250 0.250 0.250
4 Pd 0.500 0.500 0.500

***

Most stable: w (next structure +32 meV per atom)

***

## w
An optimized crystal structure of LaCuGe2Pd, computed with PBE.

SG: P4/nmm

abc: 4.312 4.312 10.336
angles: 90.00 90.00 90.00
Fractional coordinates of all 10 atoms:
1 La 0.250 0.250 0.242
2 La 0.750 0.750 0.758
3 Cu 0.250 0.750 0.000
4 Cu 0.750 0.250 0.000
5 Ge 0.250 0.250 0.875
6 Ge 0.250 0.750 0.500
7 Ge 0.750 0.250 0.500
8 Ge 0.750 0.750 0.125
9 Pd 0.250 0.250 0.632
10 Pd 0.750 0.750 0.368

***

## x
An optimized crystal structure of LaCuGe2Pd, computed with PBE.

SG: I-4m2

abc: 6.040 6.040 6.040
angles: 138.64 138.64 59.92
Fractional coordinates of all 5 atoms:
1 La 0.000 0.000 0.000
2 Cu 0.250 0.750 0.500
3 Ge 0.379 0.379 0.000
4 Ge 0.621 0.621 0.000
5 Pd 0.750 0.250 0.500

***

Most stable: x (next structure +10 meV per atom)

***

## w
An optimized crystal structure of LiNbCuGe, computed with PBE.

SG: F-43m

abc: 4.334 4.334 4.334
angles: 60.00 60.00 60.00
Fractional coordinates of all 4 atoms:
1 Li 0.000 0.000 0.000
2 Nb 0.250 0.250 0.250
3 Cu 0.750 0.750 0.750
4 Ge 0.500 0.500 0.500

***

## x
An optimized crystal structure of LiNbCuGe, computed with PBE.

SG: F-43m

abc: 4.313 4.313 4.313
angles: 60.00 60.00 60.00
Fractional coordinates of all 4 atoms:
1 Li 0.000 0.000 0.000
2 Nb 0.750 0.750 0.750
3 Cu 0.500 0.500 0.500
4 Ge 0.250 0.250 0.250

***

Most stable: w (next structure +135 meV per atom)

***

## w
An optimized crystal structure of LiCuReGe, computed with PBE.

SG: F-43m

abc: 4.197 4.197 4.197
angles: 60.00 60.00 60.00
Fractional coordinates of all 4 atoms:
1 Li 0.000 0.000 0.000
2 Cu 0.750 0.750 0.750
3 Re 0.250 0.250 0.250
4 Ge 0.500 0.500 0.500

***

## x
An optimized crystal structure of LiCuReGe, computed with PBE.

SG: F-43m

abc: 4.219 4.219 4.219
angles: 60.00 60.00 60.00
Fractional coordinates of all 4 atoms:
1 Li 0.000 0.000 0.000
2 Cu 0.500 0.500 0.500
3 Re 0.750 0.750 0.750
4 Ge 0.250 0.250 0.250

***

Most stable: w (next structure +330 meV per atom)

***

## w
An optimized crystal structure of LiScCuGe, computed with PBE.

SG: F-43m

abc: 4.411 4.411 4.411
angles: 60.00 60.00 60.00
Fractional coordinates of all 4 atoms:
1 Li 0.000 0.000 0.000
2 Sc 0.250 0.250 0.250
3 Cu 0.750 0.750 0.750
4 Ge 0.500 0.500 0.500

***

## x
An optimized crystal structure of LiScCuGe, computed with PBE.

SG: F-43m

abc: 4.475 4.475 4.475
angles: 60.00 60.00 60.00
Fractional coordinates of all 4 atoms:
1 Li 0.000 0.000 0.000
2 Sc 0.500 0.500 0.500
3 Cu 0.250 0.250 0.250
4 Ge 0.750 0.750 0.750

***

Most stable: x (next structure +107 meV per atom)

***

## w
An optimized crystal structure of LiCuGeW, computed with PBE.

SG: F-43m

abc: 4.267 4.267 4.267
angles: 60.00 60.00 60.00
Fractional coordinates of all 4 atoms:
1 Li 0.000 0.000 0.000
2 Cu 0.750 0.750 0.750
3 Ge 0.500 0.500 0.500
4 W 0.250 0.250 0.250

***

## x
An optimized crystal structure of LiCuGeW, computed with PBE.

SG: F-43m

abc: 4.290 4.290 4.290
angles: 60.00 60.00 60.00
Fractional coordinates of all 4 atoms:
1 Li 0.000 0.000 0.000
2 Cu 0.500 0.500 0.500
3 Ge 0.250 0.250 0.250
4 W 0.750 0.750 0.750

***

Most stable: w (next structure +213 meV per atom)

***

## w
An optimized crystal structure of LiZrCuGe, computed with PBE.

SG: F-43m

abc: 4.407 4.407 4.407
angles: 60.00 60.00 60.00
Fractional coordinates of all 4 atoms:
1 Li 0.000 0.000 0.000
2 Zr 0.750 0.750 0.750
3 Cu 0.500 0.500 0.500
4 Ge 0.250 0.250 0.250

***

## x
An optimized crystal structure of LiZrCuGe, computed with PBE.

SG: F-43m

abc: 4.443 4.443 4.443
angles: 60.00 60.00 60.00
Fractional coordinates of all 4 atoms:
1 Li 0.000 0.000 0.000
2 Zr 0.250 0.250 0.250
3 Cu 0.750 0.750 0.750
4 Ge 0.500 0.500 0.500

***

Most stable: x (next structure +15 meV per atom)

***

## w
An optimized crystal structure of LuMgCuGe, computed with PBE.

SG: F-43m

abc: 4.731 4.731 4.731
angles: 60.00 60.00 60.00
Fractional coordinates of all 4 atoms:
1 Lu 0.000 0.000 0.000
2 Mg 0.250 0.250 0.250
3 Cu 0.750 0.750 0.750
4 Ge 0.500 0.500 0.500

***

## x
An optimized crystal structure of LuMgCuGe, computed with PBE.

SG: F-43m

abc: 4.731 4.731 4.731
angles: 60.00 60.00 60.00
Fractional coordinates of all 4 atoms:
1 Lu 0.000 0.000 0.000
2 Mg 0.750 0.750 0.750
3 Cu 0.500 0.500 0.500
4 Ge 0.250 0.250 0.250

***

Most stable: x (next structure +45 meV per atom)

***

## w
An optimized crystal structure of LuCuNiGe, computed with PBE.

SG: F-43m

abc: 4.483 4.483 4.483
angles: 60.00 60.00 60.00
Fractional coordinates of all 4 atoms:
1 Lu 0.000 0.000 0.000
2 Cu 0.500 0.500 0.500
3 Ni 0.750 0.750 0.750
4 Ge 0.250 0.250 0.250

***

## x
An optimized crystal structure of LuCuNiGe, computed with PBE.

SG: F-43m

abc: 4.427 4.427 4.427
angles: 60.00 60.00 60.00
Fractional coordinates of all 4 atoms:
1 Lu 0.000 0.000 0.000
2 Cu 0.250 0.250 0.250
3 Ni 0.750 0.750 0.750
4 Ge 0.500 0.500 0.500

***

Most stable: x (next structure +163 meV per atom)